Record 1
Crystalline KMgFeF6 at its relaxed geometry. Source: Alexandria via LeMat-Bulk, functional PBE+U.

The total energy comes out at -4.877 eV/atom.

The space group is P312 (No. 149) and the conventional cell measures 5.2509, 5.2509 and 5.7613 Å, with angles of 90.00, 90.00 and 120.00 degrees. The distinct sites, in fractional coordinates, are K at (0.0000, 0.0000, 0.0000), Mg at (0.6667, 0.3333, 0.5000), Fe at (0.3333, 0.6667, 0.5000) and F at (0.0151, 0.3787, 0.6834).

---

Record 2
Crystalline KMnFeF6 at its relaxed geometry. Source: Alexandria via LeMat-Bulk, functional PBE+U.

The total energy comes out at -5.269 eV/atom.

The space group is P1 (No. 1) and the conventional cell measures 5.4228, 5.4404 and 5.6547 Å, with angles of 90.05, 90.01 and 119.72 degrees. The distinct sites, in fractional coordinates, are K at (0.0000, 0.0000, 0.0000), Mn at (0.3332, 0.6668, 0.5001), Fe at (0.6658, 0.3331, 0.4999), F at (0.0195, 0.6395, 0.3140), F at (0.0257, 0.3881, 0.6930), F at (0.3605, 0.3909, 0.3073), F at (0.3649, 0.9784, 0.6890), F at (0.6128, 0.9799, 0.3091) and F at (0.6166, 0.6393, 0.6876).

---

Record 3
Crystalline K2MnFeF6 at its relaxed geometry. Source: Alexandria via LeMat-Bulk, functional PBE+U.

The total energy comes out at -5.359 eV/atom.

The space group is I4/mmm (No. 139) and the conventional cell measures 6.0007, 6.0007 and 8.3706 Å, with angles of 90.00, 90.00 and 90.00 degrees. The distinct sites, in fractional coordinates, are K at (0.0000, 0.5000, 0.2500), Mn at (0.0000, 0.0000, 0.0000), Fe at (0.0000, 0.0000, 0.5000), F at (0.0000, 0.0000, 0.2564) and F at (0.2499, 0.2499, 0.0000).

---

Record 4
Crystalline K3MnFe2F9 at its relaxed geometry. Source: Alexandria via LeMat-Bulk, functional PBE+U.

The total energy comes out at -5.272 eV/atom.

The space group is P-3m1 (No. 164) and the conventional cell measures 6.0031, 6.0031 and 7.1695 Å, with angles of 90.00, 90.00 and 120.00 degrees. The distinct sites, in fractional coordinates, are K at (0.0000, 0.0000, 0.0000), K at (0.3333, 0.6667, 0.6682), Mn at (0.0000, 0.0000, 0.5000), Fe at (0.3333, 0.6667, 0.1639), F at (0.0000, 0.5000, 0.0000) and F at (0.1670, 0.3340, 0.3281).

---

Record 5
Crystalline K3Mn2FeF9 at its relaxed geometry. Source: Alexandria via LeMat-Bulk, functional PBE+U.

The total energy comes out at -5.369 eV/atom.

The space group is P-3m1 (No. 164) and the conventional cell measures 5.9869, 5.9869 and 7.3382 Å, with angles of 90.00, 90.00 and 120.00 degrees. The distinct sites, in fractional coordinates, are K at (0.0000, 0.0000, 0.0000), K at (0.3333, 0.6667, 0.6648), Mn at (0.3333, 0.6667, 0.1687), Fe at (0.0000, 0.0000, 0.5000), F at (0.0000, 0.5000, 0.0000) and F at (0.1650, 0.3300, 0.3357).

---

Record 6
Crystalline K2FeMoF6 at its relaxed geometry. Source: Alexandria via LeMat-Bulk, functional PBE+U.

The total energy comes out at -5.014 eV/atom.

The space group is Immm (No. 71) and the conventional cell measures 6.0060, 6.1735 and 8.5379 Å, with angles of 90.00, 90.00 and 90.00 degrees. The distinct sites, in fractional coordinates, are K at (0.0000, 0.0000, 0.2466), Fe at (0.0000, 0.5000, 0.0000), Mo at (0.0000, 0.5000, 0.5000), F at (0.0000, 0.5000, 0.2370) and F at (0.2476, 0.2572, 0.0000).

---

Record 7
Crystalline K2FeMoF at its relaxed geometry. Source: Alexandria via LeMat-Bulk, functional PBE+U.

The total energy comes out at -2.834 eV/atom.

The space group is P4/mmm (No. 123) and the conventional cell measures 6.6537, 6.6537 and 5.3058 Å, with angles of 90.00, 90.00 and 90.00 degrees. The distinct sites, in fractional coordinates, are K at (0.0000, 0.5000, 0.0000), Fe at (0.0000, 0.0000, 0.5000), Mo at (0.0000, 0.0000, 0.0000) and F at (0.5000, 0.5000, 0.5000).

---

Record 8
Crystalline KFeN2F at its relaxed geometry. Source: Alexandria via LeMat-Bulk, functional PBE+U.

The energy above the lowest structure with this stoichiometry is 825 kJ/mol of formula units. The total energy comes out at -3.326 eV/atom.

The space group is P4/mmm (No. 123) and the conventional cell measures 4.9848, 4.9848 and 4.6280 Å, with angles of 90.00, 90.00 and 90.00 degrees. The distinct sites, in fractional coordinates, are K at (0.0000, 0.0000, 0.0000), Fe at (0.5000, 0.5000, 0.5000), N at (0.0000, 0.5000, 0.0000) and F at (0.0000, 0.0000, 0.5000).

---

Record 9
Crystalline KFeN2F at its relaxed geometry. Source: Alexandria via LeMat-Bulk, functional PBE+U.

The energy above the lowest structure with this stoichiometry is 0 kJ/mol of formula units. The total energy comes out at -5.036 eV/atom.

The space group is P4/mmm (No. 123) and the conventional cell measures 3.7753, 3.7753 and 4.7690 Å, with angles of 90.00, 90.00 and 90.00 degrees. The distinct sites, in fractional coordinates, are K at (0.0000, 0.0000, 0.0000), Fe at (0.5000, 0.5000, 0.5000), N at (0.0000, 0.5000, 0.5000) and F at (0.5000, 0.5000, 0.0000).

---

Record 10
Crystalline KNaFeF6 at its relaxed geometry. Source: Alexandria via LeMat-Bulk, functional PBE+U.

The total energy comes out at -4.444 eV/atom.

The space group is P4_2nm (No. 102) and the conventional cell measures 5.2515, 5.2515 and 10.4375 Å, with angles of 90.00, 90.00 and 90.00 degrees. The distinct sites, in fractional coordinates, are K at (0.0000, 0.0000, 0.0000), Na at (0.0000, 0.0000, 0.6684), Fe at (0.0000, 0.0000, 0.3361), F at (0.1650, 0.1650, 0.4681), F at (0.1811, 0.1811, 0.2129) and F at (0.2432, 0.7568, 0.3291).

---

Record 11
Crystalline K3Na2FeF9 at its relaxed geometry. Source: Alexandria via LeMat-Bulk, functional PBE+U.

The total energy comes out at -4.374 eV/atom.

The space group is P-3m1 (No. 164) and the conventional cell measures 6.0827, 6.0827 and 7.3836 Å, with angles of 90.00, 90.00 and 120.00 degrees. The distinct sites, in fractional coordinates, are K at (0.0000, 0.0000, 0.0000), K at (0.3333, 0.6667, 0.7375), Na at (0.3333, 0.6667, 0.1754), Fe at (0.0000, 0.0000, 0.5000), F at (0.0000, 0.5000, 0.0000) and F at (0.1429, 0.2858, 0.3578).

---

Magnetization for every record listed, in sequence, given in μB per atom: 0.11, 0.67, 0.90, 0.87, 0.93, 0.60, 1.69, 1.60, 0.50, 0.22, 0.13.